# 1
The following is a DFT calculation (GGA-PBEsol) of an optimized crystal structure of ZrNbP.

Structure (extended XYZ):
```
12
Lattice="3.546 0.000 0.000 0.000 6.842 0.000 0.000 0.000 8.258" Properties=species:S:1:pos:R:3 pbc="T T T"
Zr 0.887 0.242 2.733
P 2.660 1.641 1.174
Nb 0.887 4.371 4.625
Nb 2.660 5.892 0.496
Nb 0.887 0.950 7.762
Nb 2.660 2.471 3.633
P 2.660 5.062 2.955
P 0.887 1.780 5.303
Zr 0.887 3.663 1.396
P 0.887 5.201 7.084
Zr 2.660 3.179 6.862
Zr 2.660 6.600 5.525
```

Results
ΔH_f (0 K), eV/f.u.: -3.49
DOS(E_F), states/eV per cell: 5.21

# 2
The following is a DFT calculation (GGA-PBEsol) of an optimized crystal structure of NbPdPb2.

Structure (extended XYZ):
```
4
Lattice="4.850 0.000 0.000 2.425 4.200 0.000 2.425 1.400 3.960" Properties=species:S:1:pos:R:3 pbc="T T T"
Pb 7.274 4.200 2.970
Nb 0.000 0.000 0.000
Pd 4.850 2.800 1.980
Pb 2.425 1.400 0.990
```

Results
ΔH_f (0 K), eV/f.u.: 1.15
DOS(E_F), states/eV per cell: 3.76

# 3
The following is a DFT calculation (GGA-PBEsol) of an optimized crystal structure of NbPtPbS2.

Structure (extended XYZ):
```
5
Lattice="4.850 0.000 0.000 0.000 4.850 0.000 0.000 0.000 5.483" Properties=species:S:1:pos:R:3 pbc="T T T"
S 2.425 0.000 0.000
S 0.000 2.425 0.000
Nb 0.000 0.000 2.741
Pb 0.000 0.000 0.000
Pt 2.425 2.425 2.741
```

Results
DOS(E_F), states/eV per cell: 7.95
Formation energy without anion corrections, eV/atom: 1.823

# 4
The following is a DFT calculation (GGA-PBEsol) of an optimized crystal structure of NbPbS3.

Structure (extended XYZ):
```
5
Lattice="-0.497 4.072 -2.818 -3.390 1.785 3.177 3.610 2.236 2.595" Properties=species:S:1:pos:R:3 pbc="T T T"
Pb 0.000 0.000 0.000
S -1.695 0.892 1.589
S -0.249 2.036 -1.409
S 1.805 1.118 1.298
Nb -0.138 4.047 1.477
```

Results
DOS(E_F), states/eV per cell: 3.18
Formation energy without anion corrections, eV/atom: 0.975

# 5
The following is a DFT calculation (GGA-PBEsol) of an optimized crystal structure of ScNbPb3.

Structure (extended XYZ):
```
5
Lattice="5.370 0.000 0.000 0.000 5.370 0.000 0.000 0.000 5.370" Properties=species:S:1:pos:R:3 pbc="T T T"
Sc 0.000 0.000 0.000
Pb 2.685 0.000 0.000
Pb 0.000 2.685 0.000
Nb 2.685 2.685 2.685
Pb 0.000 0.000 2.685
```

Results
ΔH_f (0 K), eV/f.u.: 5.38
DOS(E_F), states/eV per cell: 5.18

# 6
The following is a DFT calculation (GGA-PBEsol) of an optimized crystal structure of Nb12PbSe16.

Structure (extended XYZ):
```
29
Lattice="-3.307 -0.578 -6.073 2.906 -9.471 -0.678 -6.923 2.543 7.496" Properties=species:S:1:pos:R:3 pbc="T T T"
Nb -6.565 -2.917 2.882
Se -2.548 -7.366 3.108
Se 0.382 -6.945 -2.496
Se -7.707 -0.561 3.241
Se -4.683 -4.756 2.000
Nb -0.760 -4.590 -2.137
Nb -5.424 0.302 1.915
Se -4.345 -1.572 3.503
Nb -3.477 -2.553 1.185
Nb -4.915 -2.624 5.899
Se -2.642 -2.751 -1.255
Se -2.981 -5.935 -2.759
Nb -3.848 -4.953 -0.440
Se -1.303 -7.212 -5.543
Se -0.975 -2.489 1.766
Nb -7.071 0.005 -1.067
Nb -2.410 -4.883 -5.154
Se -6.351 -5.018 -1.022
Nb -1.901 -7.809 -1.170
Pb -1.654 -0.289 -3.036
Se -4.204 -7.621 0.046
Se -3.121 0.115 0.699
Se -1.348 -5.624 0.269
Se -4.777 -0.141 -2.363
Nb -0.255 -7.511 1.811
Se -6.022 -0.295 6.288
Se -5.977 -1.882 0.476
Nb -2.165 -4.644 2.639
Nb -5.160 -2.863 -1.894
```

Results
DOS(E_F), states/eV per cell: 10.82
Formation energy without anion corrections, eV/atom: -0.855